P.
PBE Cs2N2Cl, relaxed; crystal system = tetragonal; space group = P4/mbm, No. 127; N(E_F) = 7.3 states/eV per cell
1.0
8.544 0.000 0.000
0.000 8.544 0.000
0.000 0.000 4.062
Cs N Cl
4 4 2
Cartesian
1.942 2.329 0.000
2.329 6.601 0.000
6.214 1.942 0.000
6.601 6.214 0.000
0.418 4.690 2.031
3.853 0.418 2.031
4.690 8.125 2.031
8.125 3.853 2.031
0.000 0.000 2.031
4.272 4.272 2.031

***

Q.
PBE Cs2N2Cl, relaxed; crystal system = monoclinic; space group = C2/m, No. 12; N(E_F) = 2.6 states/eV per cell
1.0
4.239 -2.440 0.000
4.239 2.440 0.000
-3.426 0.000 8.284
Cs N Cl
2 2 1
Cartesian
1.145 0.000 2.068
3.906 0.000 6.216
3.748 0.000 0.325
1.303 0.000 7.959
-1.713 0.000 4.142

***

Which one sits at the bottom of the stability order? P does.

***

P.
PBE CsNCl3, relaxed; crystal system = cubic; space group = Pm-3m, No. 221; N(E_F) = 22.5 states/eV per cell
1.0
7.005 0.000 0.000
0.000 7.005 0.000
0.000 0.000 7.005
Cs N Cl
1 1 3
Cartesian
0.000 0.000 0.000
3.503 3.503 3.503
0.000 0.000 3.503
0.000 3.503 0.000
3.503 0.000 0.000

***

Q.
PBE CsNCl3, relaxed; crystal system = cubic; space group = Pm-3m, No. 221; N(E_F) = 1.7 states/eV per cell
1.0
4.800 0.000 0.000
0.000 4.800 0.000
0.000 0.000 4.800
Cs N Cl
1 1 3
Cartesian
0.000 0.000 0.000
2.400 2.400 2.400
0.000 2.400 2.400
2.400 0.000 2.400
2.400 2.400 0.000

***

Which one sits at the bottom of the stability order? P does.

***

P.
PBE CsP2NCl, relaxed; crystal system = tetragonal; space group = P4/mmm, No. 123; N(E_F) = 5.0 states/eV per cell
1.0
4.206 0.000 0.000
0.000 4.206 0.000
0.000 0.000 8.819
Cs P N Cl
1 2 1 1
Cartesian
0.000 0.000 0.000
0.000 2.103 4.410
2.103 0.000 4.410
2.103 2.103 4.410
2.103 2.103 0.000

***

Q.
PBE CsP2NCl, relaxed; crystal system = tetragonal; space group = P4/mmm, No. 123; N(E_F) = 4.0 states/eV per cell
1.0
5.841 0.000 0.000
0.000 5.841 0.000
0.000 0.000 5.791
Cs P N Cl
1 2 1 1
Cartesian
0.000 0.000 0.000
0.000 2.921 0.000
2.921 0.000 0.000
2.921 2.921 2.896
0.000 0.000 2.896

***

Which one sits at the bottom of the stability order? Q does.